4
Lattice="-2.709 4.355 -1.919 -4.320 1.644 -2.936 -3.779 1.001 3.320" Properties=species:S:1:pos:R:3 comment="Li2YZn (PBE, optimized geometry)" delta_e_f_ev_per_atom=-0.0594 total_energy_ev_per_cell=-11.8 spacegroup="C2/m, No. 12" vol_a3_per_cell=84.4 dos_at_fermi_per_ev_cell=2.45 pbc="T T T"
Y -8.107 5.249 -1.151
Li -5.430 3.624 -1.059
Li -7.003 5.873 -4.563
Zn -2.702 1.750 -0.384

---

4
Lattice="-0.298 0.044 3.431 1.504 -3.094 0.170 6.407 3.143 0.517" Properties=species:S:1:pos:R:3 comment="Li2YZn (PBE, optimized geometry)" delta_e_f_ev_per_atom=-0.0784 total_energy_ev_per_cell=-11.9 spacegroup="P4mm, No. 99" vol_a3_per_cell=84.9 dos_at_fermi_per_ev_cell=3.31 pbc="T T T"
Zn 5.619 0.936 2.205
Li 1.895 -0.891 1.905
Y 3.397 1.667 0.274
Li 6.311 3.096 0.509